Here is a geometry-optimized NaTiVF6 structure from the Alexandria database. Energies are from GGA+U.

Cell lengths 5.4393, 5.4393, 9.8382 Å; angles 90.00, 90.00, 120.00 degrees
Closest atoms and distances in Å follow each position.
Positions (direct):
F: 0.3645 0.3474 0.3603  1 Ti 2.00, 1 V 2.12
F: 0.6526 0.0171 0.3603  1 Ti 2.00, 1 V 2.12
Ti: 0.6667 0.3333 0.2500  6 F 2.00
F: 0.6355 0.9829 0.8603  1 Ti 2.00, 1 V 2.12
F: 0.3645 0.0171 0.1397  1 Ti 2.00, 1 V 2.12
V: 0.6667 0.3333 0.7500  6 F 2.12
F: 0.9829 0.6355 0.3603  1 Ti 2.00, 1 V 2.12
F: 0.9829 0.3474 0.1397  1 Ti 2.00, 1 V 2.12
V: 0.3333 0.6667 0.2500  6 F 2.12
F: 0.6526 0.6355 0.1397  1 Ti 2.00, 1 V 2.12
F: 0.0171 0.6526 0.8603  1 Ti 2.00, 1 V 2.12
F: 0.3474 0.9829 0.6397  1 Ti 2.00, 1 V 2.12
F: 0.0171 0.3645 0.6397  1 Ti 2.00, 1 V 2.12
Na: 0.0000 0.0000 0.0000  6 F 2.38
F: 0.3474 0.3645 0.8603  1 Ti 2.00, 1 V 2.12
Na: 0.0000 0.0000 0.5000  6 F 2.38
F: 0.6355 0.6526 0.6397  1 Ti 2.00, 1 V 2.12
Ti: 0.3333 0.6667 0.7500  6 F 2.00

Values from the calculation:
For the final energy, the calculation gives -6.07 eV/atom. As for the space group: P-31c. The total magnetic moment comes out at 4.0 μB/f.u.